{"formula": "KZrRe2", "functional": "PBE", "state": "optimized geometry", "formation_enthalpy_0k_ev_per_atom": 0.754, "de_polymorph_ev_per_fu": 0.80, "m_tot_mub_per_cell": 0.00, "energy_ev_per_atom": -7.8812, "lattice_angstrom": [[-3.746, 0.535, -2.794], [1.638, -0.372, -2.267], [-0.307, -7.620, -1.047]], "species": ["Zr", "Re", "Re", "K"], "fractional_positions": [[0.500, 0.250, 0.250], [0.000, 0.842, 0.098], [0.000, 0.658, 0.402], [0.500, 0.750, 0.750]]}

=====

{"formula": "KZrRe2", "functional": "PBE", "state": "optimized geometry", "formation_enthalpy_0k_ev_per_atom": 1.233, "de_polymorph_ev_per_fu": 2.72, "m_tot_mub_per_cell": 0.00, "energy_ev_per_atom": -7.4022, "lattice_angstrom": [[-0.066, 4.633, -0.939], [-4.083, 2.380, 0.125], [-0.822, 3.104, 3.471]], "species": ["Re", "Re", "K", "Zr"], "fractional_positions": [[0.250, 0.250, 0.250], [0.000, 0.000, 0.000], [0.500, 0.500, 0.500], [0.750, 0.750, 0.750]]}

=====

{"formula": "KZrRe2", "functional": "PBE", "state": "optimized geometry", "formation_enthalpy_0k_ev_per_atom": 0.752, "de_polymorph_ev_per_fu": 0.79, "m_tot_mub_per_cell": 0.00, "energy_ev_per_atom": -7.8831, "lattice_angstrom": [[-0.221, -1.271, -2.488], [4.594, 0.742, -0.787], [1.625, -6.624, 3.239]], "species": ["Zr", "K", "Re", "Re"], "fractional_positions": [[0.500, 0.500, 0.250], [0.500, 0.500, 0.750], [0.000, 0.000, 0.098], [0.000, 0.000, 0.402]]}

=====

{"formula": "KZrRe4", "functional": "PBE", "state": "optimized geometry", "formation_enthalpy_0k_ev_per_atom": 0.570, "m_tot_mub_per_cell": 0.00, "energy_ev_per_atom": -9.3360, "lattice_angstrom": [[0.000, 3.810, 3.810], [3.810, 0.000, 3.810], [3.810, 3.810, 0.000]], "species": ["Zr", "Re", "Re", "Re", "Re", "K"], "fractional_positions": [[0.750, 0.750, 0.750], [0.375, 0.875, 0.375], [0.375, 0.375, 0.875], [0.375, 0.375, 0.375], [0.875, 0.375, 0.375], [0.000, 0.000, 0.000]]}

=====

{"formula": "KZrRe2", "functional": "PBE", "state": "optimized geometry", "formation_enthalpy_0k_ev_per_atom": 1.576, "de_polymorph_ev_per_fu": 4.09, "m_tot_mub_per_cell": 0.00, "energy_ev_per_atom": -7.0591, "lattice_angstrom": [[-2.091, -4.313, 0.192], [-3.722, -0.991, -2.861], [0.525, -3.084, -3.637]], "species": ["Zr", "K", "Re", "Re"], "fractional_positions": [[0.500, 0.500, 0.500], [0.000, 0.000, 0.000], [0.250, 0.250, 0.250], [0.750, 0.750, 0.750]]}

=====

{"formula": "KZrRe2", "functional": "PBE", "state": "optimized geometry", "formation_enthalpy_0k_ev_per_atom": 1.340, "de_polymorph_ev_per_fu": 3.14, "m_tot_mub_per_cell": 0.00, "energy_ev_per_atom": -7.2957, "lattice_angstrom": [[-0.734, -1.023, 2.814], [-3.390, -2.638, -1.843], [3.296, -3.856, -0.543]], "species": ["Zr", "Re", "Re", "K"], "fractional_positions": [[0.500, 0.000, 0.500], [0.000, 0.000, 0.000], [0.500, 0.500, 0.000], [0.000, 0.500, 0.500]]}

=====

{"formula": "KZrRe2", "functional": "PBE", "state": "optimized geometry", "formation_enthalpy_0k_ev_per_atom": 0.968, "de_polymorph_ev_per_fu": 1.65, "m_tot_mub_per_cell": 0.00, "energy_ev_per_atom": -7.6678, "lattice_angstrom": [[5.189, 0.002, -0.009], [4.463, 2.648, -0.009], [0.058, 0.016, 7.283]], "species": ["Re", "Re", "K", "Zr"], "fractional_positions": [[0.004, 0.004, 0.897], [0.496, 0.496, 0.603], [0.250, 0.250, 0.250], [0.750, 0.750, 0.750]]}

=====

{"formula": "KZrRe2", "functional": "PBE", "state": "optimized geometry", "formation_enthalpy_0k_ev_per_atom": 1.450, "de_polymorph_ev_per_fu": 3.58, "m_tot_mub_per_cell": 0.00, "energy_ev_per_atom": -7.1859, "lattice_angstrom": [[4.988, 0.000, 0.000], [0.000, 3.884, 0.000], [0.000, 0.000, 3.884]], "species": ["Re", "Re", "Zr", "K"], "fractional_positions": [[0.000, 0.000, 0.000], [0.000, 0.500, 0.500], [0.500, 0.500, 0.000], [0.500, 0.000, 0.500]]}